# 1
Crystalline NbCd2Co2 at its relaxed geometry. Source: the Alexandria database, functional PBE.

DFT formation energy, meV/atom: 242.8
Raw total energy, eV per atom: -4.980
Total magnetic moment, μB per formula unit: 0.8

Cell lengths 6.2208, 6.2208, 4.2632 Å; angles 90.00, 90.00, 90.00 degrees
Fractional positions:
Cd  0.6748  0.8252  0.5000
Nb  0.0000  0.0000  0.0000
Co  0.8723  0.6277  0.0000
Nb  0.5000  0.5000  0.0000
Cd  0.1748  0.6748  0.5000
Co  0.1277  0.3723  0.0000
Cd  0.8252  0.3252  0.5000
Co  0.3723  0.8723  0.0000
Co  0.6277  0.1277  0.0000
Cd  0.3252  0.1748  0.5000

***

# 2
Crystalline Nb2CdCo2 at its relaxed geometry. Source: the Alexandria database, functional PBE.

DFT formation energy, meV/atom: 176.1
Raw total energy, eV per atom: -6.877
Energy relative to the lowest polymorph listed for this composition, meV/atom: 244.0
Total magnetic moment, μB per formula unit: 0.0

Cell lengths 7.6328, 7.6328, 2.7521 Å; angles 90.00, 90.00, 90.00 degrees
Fractional positions:
Nb  0.3539  0.8539  0.0000
Co  0.8571  0.3571  0.5000
Co  0.3571  0.1429  0.5000
Nb  0.1461  0.3539  0.0000
Cd  0.5000  0.5000  0.0000
Cd  0.0000  0.0000  0.0000
Nb  0.6461  0.1461  0.0000
Co  0.6429  0.8571  0.5000
Co  0.1429  0.6429  0.5000
Nb  0.8539  0.6461  0.0000

***

# 3
Crystalline Nb2CdCo at its relaxed geometry. Source: the Alexandria database, functional PBE.

DFT formation energy, meV/atom: 434.7
Raw total energy, eV per atom: -6.605
Total magnetic moment, μB per formula unit: 0.6

Cell lengths 2.8392, 2.8392, 10.4150 Å; angles 82.17, 82.17, 60.00 degrees
Fractional positions:
Nb  0.9018  0.9018  0.2947
Cd  0.0000  0.0000  0.0000
Nb  0.0982  0.0982  0.7053
Co  0.5000  0.5000  0.5000

***

# 4
Crystalline Nb2CdCo at its relaxed geometry. Source: the Alexandria database, functional PBE.

DFT formation energy, meV/atom: 403.9
Raw total energy, eV per atom: -6.636
Total magnetic moment, μB per formula unit: 0.0

Cell lengths 7.3382, 7.3382, 5.8338 Å; angles 51.03, 51.03, 90.00 degrees
Fractional positions:
Nb  0.5694  0.1250  0.2500
Nb  0.8750  0.8194  0.7500
Nb  0.1806  0.6250  0.2500
Cd  0.7500  0.2500  0.5000
Co  0.2500  0.7500  0.5000
Nb  0.3750  0.4306  0.7500
Cd  0.0000  0.0000  0.0000
Co  0.5000  0.5000  0.0000

***

# 5
Crystalline NbCdCo3 at its relaxed geometry. Source: the Alexandria database, functional PBE.

DFT formation energy, meV/atom: 1208.4
Raw total energy, eV per atom: -5.252
Energy relative to the lowest polymorph listed for this composition, meV/atom: 0.0
Total magnetic moment, μB per formula unit: 0.0

Cell lengths 4.4762, 4.4762, 4.4762 Å; angles 90.00, 90.00, 90.00 degrees
Fractional positions:
Co  0.5000  0.0000  0.0000
Cd  0.5000  0.5000  0.5000
Co  0.0000  0.5000  0.0000
Co  0.0000  0.0000  0.5000
Nb  0.0000  0.0000  0.0000

***

# 6
Crystalline NbCd3Co at its relaxed geometry. Source: the Alexandria database, functional PBE.

DFT formation energy, meV/atom: 992.9
Raw total energy, eV per atom: -2.991
Total magnetic moment, μB per formula unit: 0.0

Cell lengths 4.7645, 4.7645, 4.7645 Å; angles 90.00, 90.00, 90.00 degrees
Fractional positions:
Co  0.0000  0.0000  0.0000
Nb  0.5000  0.5000  0.5000
Cd  0.0000  0.5000  0.0000
Cd  0.0000  0.0000  0.5000
Cd  0.5000  0.0000  0.0000